Computed, not measured: a geometry-optimized Mg3ReGe structure at the PBE-GGA level of DFT.

The structure in CIF format:
```
data_Mg3ReGe
_chemical_formula_sum 'Mg3 Re1 Ge1'
_cell_length_a 4.920
_cell_length_b 4.920
_cell_length_c 4.920
_cell_angle_alpha 90.00
_cell_angle_beta 90.00
_cell_angle_gamma 90.00
_symmetry_space_group_name_H-M 'P m -3 m'
_symmetry_Int_Tables_number 221
_symmetry_space_group_name_Hall '-P 4 2 3'
loop_
_atom_site_label
_atom_site_type_symbol
_atom_site_fract_x
_atom_site_fract_y
_atom_site_fract_z
Mg1 Mg 0.000 0.000 0.500
Re1 Re 0.500 0.500 0.500
Ge1 Ge 0.000 0.000 0.000
```

Values from the calculation:
distance to the lowest polymorph of the same formula: 0.085 eV per atom
formation energy: 553 kJ/mol of formula units
ρ: 4.63 g/cm3
raw total energy: -3.22 eV per atom


Computed, not measured: a geometry-optimized MgReSiGe2 structure at the PBE-GGA level of DFT.

The structure in CIF format:
```
data_MgReSiGe2
_chemical_formula_sum 'Mg1 Re1 Si1 Ge2'
_cell_length_a 4.838
_cell_length_b 4.838
_cell_length_c 4.802
_cell_angle_alpha 90.00
_cell_angle_beta 90.00
_cell_angle_gamma 90.00
_symmetry_space_group_name_H-M 'P 4/m m m'
_symmetry_Int_Tables_number 123
_symmetry_space_group_name_Hall '-P 4 2'
loop_
_atom_site_label
_atom_site_type_symbol
_atom_site_fract_x
_atom_site_fract_y
_atom_site_fract_z
Mg1 Mg 0.000 0.000 0.000
Re1 Re 0.500 0.500 0.500
Si1 Si 0.000 0.000 0.500
Ge1 Ge 0.000 0.500 0.000
```

Values from the calculation:
ΔE_f (raw): 8.6 eV per formula unit
ρ: 5.67 g/cm3
raw total energy: -4.03 eV per atom


Computed, not measured: a geometry-optimized MgRe2SnGe structure at the PBE-GGA level of DFT.

The structure in CIF format:
```
data_MgRe2SnGe
_chemical_formula_sum 'Mg1 Re2 Sn1 Ge1'
_cell_length_a 4.661
_cell_length_b 4.661
_cell_length_c 4.616
_cell_angle_alpha 90.00
_cell_angle_beta 90.00
_cell_angle_gamma 90.00
_symmetry_space_group_name_H-M 'P 4/m m m'
_symmetry_Int_Tables_number 123
_symmetry_space_group_name_Hall '-P 4 2'
loop_
_atom_site_label
_atom_site_type_symbol
_atom_site_fract_x
_atom_site_fract_y
_atom_site_fract_z
Mg1 Mg 0.000 0.000 0.000
Re1 Re 0.000 0.500 0.500
Sn1 Sn 0.500 0.500 0.000
Ge1 Ge 0.000 0.000 0.500
```

Values from the calculation:
formation energy: 557 kJ/mol of formula units
ρ: 9.74 g/cm3
raw total energy: -5.87 eV per atom


Computed, not measured: a geometry-optimized Mg2Ge2Rh3 structure at the PBE-GGA level of DFT.

The structure in CIF format:
```
data_Mg2Ge2Rh3
_chemical_formula_sum 'Mg4 Ge4 Rh6'
_cell_length_a 7.427
_cell_length_b 4.306
_cell_length_c 7.469
_cell_angle_alpha 90.00
_cell_angle_beta 109.50
_cell_angle_gamma 90.00
_symmetry_space_group_name_H-M 'C 1 2/m 1'
_symmetry_Int_Tables_number 12
loop_
_symmetry_equiv_pos_as_xyz
'x,y,z'
'-x,-y,-z'
'-x,y,-z'
'x,-y,z'
'x+1/2,y+1/2,z'
'-x+1/2,-y+1/2,-z'
'-x+1/2,y+1/2,-z'
'x+1/2,-y+1/2,z'
loop_
_atom_site_label
_atom_site_type_symbol
_atom_site_fract_x
_atom_site_fract_y
_atom_site_fract_z
Mg1 Mg 0.131 0.000 0.391
Ge1 Ge 0.111 0.500 0.833
Rh1 Rh 0.000 0.000 0.000
Rh2 Rh 0.235 0.500 0.206
```

Values from the calculation:
formation energy: -375 kJ/mol of formula units
ρ: 7.41 g/cm3
raw total energy: -5.48 eV per atom


Computed, not measured: a geometry-optimized MgGe4Rh2 structure at the PBE-GGA level of DFT.

The structure in CIF format:
```
data_MgGe4Rh2
_chemical_formula_sum 'Mg2 Ge8 Rh4'
_cell_length_a 4.833
_cell_length_b 4.833
_cell_length_c 12.580
_cell_angle_alpha 90.00
_cell_angle_beta 90.00
_cell_angle_gamma 90.00
_symmetry_space_group_name_H-M 'I 4/m m m'
_symmetry_Int_Tables_number 139
_symmetry_space_group_name_Hall '-I 4 2'
loop_
_atom_site_label
_atom_site_type_symbol
_atom_site_fract_x
_atom_site_fract_y
_atom_site_fract_z
Mg1 Mg 0.000 0.000 0.000
Ge1 Ge 0.000 0.000 0.211
Ge2 Ge 0.000 0.500 0.000
Rh1 Rh 0.000 0.000 0.395
```

Values from the calculation:
formation energy: 311 kJ/mol of formula units
ρ: 5.88 g/cm3
raw total energy: -4.51 eV per atom


Computed, not measured: a geometry-optimized Mg4GeRh2 structure at the PBE-GGA level of DFT.

The structure in CIF format:
```
data_Mg4GeRh2
_chemical_formula_sum 'Mg8 Ge2 Rh4'
_cell_length_a 4.853
_cell_length_b 4.853
_cell_length_c 13.059
_cell_angle_alpha 90.00
_cell_angle_beta 90.00
_cell_angle_gamma 90.00
_symmetry_space_group_name_H-M 'I 4/m m m'
_symmetry_Int_Tables_number 139
_symmetry_space_group_name_Hall '-I 4 2'
loop_
_atom_site_label
_atom_site_type_symbol
_atom_site_fract_x
_atom_site_fract_y
_atom_site_fract_z
Mg1 Mg 0.000 0.000 0.201
Mg2 Mg 0.000 0.500 0.000
Ge1 Ge 0.000 0.000 0.000
Rh1 Rh 0.000 0.000 0.396
```

Values from the calculation:
formation energy: 197 kJ/mol of formula units
ρ: 4.06 g/cm3
raw total energy: -3.38 eV per atom


Computed, not measured: a geometry-optimized MgGeRh structure at the PBE-GGA level of DFT.

The structure in CIF format:
```
data_MgGeRh
_chemical_formula_sum 'Mg4 Ge4 Rh4'
_cell_length_a 9.759
_cell_length_b 4.139
_cell_length_c 6.471
_cell_angle_alpha 90.00
_cell_angle_beta 128.30
_cell_angle_gamma 90.00
_symmetry_space_group_name_H-M 'C 1 2/m 1'
_symmetry_Int_Tables_number 12
loop_
_symmetry_equiv_pos_as_xyz
'x,y,z'
'-x,-y,-z'
'-x,y,-z'
'x,-y,z'
'x+1/2,y+1/2,z'
'-x+1/2,-y+1/2,-z'
'-x+1/2,y+1/2,-z'
'x+1/2,-y+1/2,z'
loop_
_atom_site_label
_atom_site_type_symbol
_atom_site_fract_x
_atom_site_fract_y
_atom_site_fract_z
Mg1 Mg 0.053 0.000 0.284
Ge1 Ge 0.157 0.500 0.707
Rh1 Rh 0.181 0.500 0.110
```

Values from the calculation:
formation energy: -132 kJ/mol of formula units
ρ: 6.47 g/cm3
raw total energy: -4.98 eV per atom


Computed, not measured: a geometry-optimized Mg5GeRh6 structure at the PBE-GGA level of DFT.

The structure in CIF format:
```
data_Mg5GeRh6
_chemical_formula_sum 'Mg10 Ge2 Rh12'
_cell_length_a 4.377
_cell_length_b 6.207
_cell_length_c 13.112
_cell_angle_alpha 90.00
_cell_angle_beta 90.00
_cell_angle_gamma 90.00
_symmetry_space_group_name_H-M 'I m m m'
_symmetry_Int_Tables_number 71
_symmetry_space_group_name_Hall '-I 2 2'
loop_
_atom_site_label
_atom_site_type_symbol
_atom_site_fract_x
_atom_site_fract_y
_atom_site_fract_z
Mg1 Mg 0.000 0.000 0.000
Mg2 Mg 0.000 0.000 0.326
Mg3 Mg 0.000 0.500 0.335
Ge1 Ge 0.000 0.500 0.000
Rh1 Rh 0.000 0.234 0.500
Rh2 Rh 0.000 0.258 0.161
```

Values from the calculation:
formation energy: -670 kJ/mol of formula units
ρ: 7.57 g/cm3
raw total energy: -5.30 eV per atom


Computed, not measured: a geometry-optimized Mg3Ge4Rh2 structure at the PBE-GGA level of DFT.

The structure in CIF format:
```
data_Mg3Ge4Rh2
_chemical_formula_sum 'Mg6 Ge8 Rh4'
_cell_length_a 9.669
_cell_length_b 4.341
_cell_length_c 8.150
_cell_angle_alpha 90.00
_cell_angle_beta 110.35
_cell_angle_gamma 90.00
_symmetry_space_group_name_H-M 'C 1 2/m 1'
_symmetry_Int_Tables_number 12
loop_
_symmetry_equiv_pos_as_xyz
'x,y,z'
'-x,-y,-z'
'-x,y,-z'
'x,-y,z'
'x+1/2,y+1/2,z'
'-x+1/2,-y+1/2,-z'
'-x+1/2,y+1/2,-z'
'x+1/2,-y+1/2,z'
loop_
_atom_site_label
_atom_site_type_symbol
_atom_site_fract_x
_atom_site_fract_y
_atom_site_fract_z
Mg1 Mg 0.000 0.000 0.000
Mg2 Mg 0.114 0.500 0.383
Ge1 Ge 0.099 0.000 0.648
Ge2 Ge 0.166 0.500 0.047
Rh1 Rh 0.222 0.500 0.764
```

Values from the calculation:
formation energy: -263 kJ/mol of formula units
ρ: 5.90 g/cm3
raw total energy: -4.52 eV per atom


Computed, not measured: a geometry-optimized MgGe2Rh structure at the PBE-GGA level of DFT.

The structure in CIF format:
```
data_MgGe2Rh
_chemical_formula_sum 'Mg4 Ge8 Rh4'
_cell_length_a 7.602
_cell_length_b 7.602
_cell_length_c 5.255
_cell_angle_alpha 90.00
_cell_angle_beta 90.00
_cell_angle_gamma 90.00
_symmetry_space_group_name_H-M 'I -4 2 d'
_symmetry_Int_Tables_number 122
_symmetry_space_group_name_Hall 'I -4 2bw'
loop_
_atom_site_label
_atom_site_type_symbol
_atom_site_fract_x
_atom_site_fract_y
_atom_site_fract_z
Mg1 Mg 0.000 0.000 0.000
Ge1 Ge 0.189 0.250 0.625
Rh1 Rh 0.000 0.000 0.500
```

Values from the calculation:
formation energy: -48 kJ/mol of formula units
ρ: 5.96 g/cm3
raw total energy: -4.67 eV per atom


Computed, not measured: a geometry-optimized MgGeRh4 structure at the PBE-GGA level of DFT.

The structure in CIF format:
```
data_MgGeRh4
_chemical_formula_sum 'Mg2 Ge2 Rh8'
_cell_length_a 5.777
_cell_length_b 5.776
_cell_length_c 5.932
_cell_angle_alpha 90.00
_cell_angle_beta 90.07
_cell_angle_gamma 90.00
_symmetry_space_group_name_H-M 'C 1 2 1'
_symmetry_Int_Tables_number 5
loop_
_symmetry_equiv_pos_as_xyz
'x,y,z'
'-x,y,-z'
'x+1/2,y+1/2,z'
'-x+1/2,y+1/2,-z'
loop_
_atom_site_label
_atom_site_type_symbol
_atom_site_fract_x
_atom_site_fract_y
_atom_site_fract_z
Mg1 Mg 0.000 0.000 0.000
Ge1 Ge 0.000 0.501 0.500
Rh1 Rh 0.250 0.250 0.262
Rh2 Rh 0.250 0.250 0.738
```

Values from the calculation:
formation energy: 5 kJ/mol of formula units
ρ: 8.53 g/cm3
raw total energy: -5.93 eV per atom